Sr3CaY (PBE, optimized geometry); energy relative to the elements = 0.635 eV per atom; offset from the most stable computed form = 0.0 meV/atom; total magnetization = 2.7 μB/cell
1.0
6.555 0.000 0.000
0.000 6.555 0.000
0.000 0.000 6.555
Sr Ca Y
3 1 1
direct
0.000 0.000 0.500
0.000 0.500 0.000
0.500 0.000 0.000
0.500 0.500 0.500
0.000 0.000 0.000

Sr2CaY (PBE, optimized geometry); energy relative to the elements = 0.168 eV per atom; offset from the most stable computed form = 51.3 meV/atom; total magnetization = 0.0 μB/cell
1.0
0.000 4.417 4.417
4.417 0.000 4.417
4.417 4.417 0.000
Sr Ca Y
2 1 1
direct
0.000 0.000 0.000
0.250 0.250 0.250
0.500 0.500 0.500
0.750 0.750 0.750

Sr4CaY (PBE, optimized geometry); energy relative to the elements = 0.333 eV per atom; total magnetization = 1.5 μB/cell
1.0
0.000 5.274 5.274
5.274 0.000 5.274
5.274 5.274 0.000
Sr Ca Y
4 1 1
direct
0.124 0.124 0.124
0.124 0.124 0.627
0.124 0.627 0.124
0.627 0.124 0.124
0.500 0.500 0.500
0.750 0.750 0.750

Sr2CaY (PBE, optimized geometry); energy relative to the elements = 0.194 eV per atom; offset from the most stable computed form = 76.9 meV/atom; total magnetization = 0.8 μB/cell
1.0
5.613 0.000 0.000
0.000 5.613 0.000
0.000 0.000 5.643
Sr Ca Y
2 1 1
direct
0.000 0.500 0.000
0.500 0.000 0.000
0.000 0.000 0.500
0.500 0.500 0.500

Sr2CaY (PBE, optimized geometry); energy relative to the elements = 0.140 eV per atom; offset from the most stable computed form = 23.2 meV/atom; total magnetization = 1.2 μB/cell
1.0
1.971 1.138 13.115
-1.971 1.138 13.115
0.000 -2.276 13.115
Sr Ca Y
2 1 1
direct
0.000 0.000 0.000
0.174 0.174 0.174
0.421 0.421 0.421
0.587 0.587 0.587

Sr2CaY (PBE, optimized geometry); energy relative to the elements = 0.148 eV per atom; offset from the most stable computed form = 31.6 meV/atom; total magnetization = 1.3 μB/cell
1.0
1.970 1.137 13.152
-1.970 1.137 13.152
0.000 -2.275 13.152
Sr Ca Y
2 1 1
direct
0.246 0.246 0.246
0.754 0.754 0.754
0.000 0.000 0.000
0.500 0.500 0.500

SrCa2Y (PBE, optimized geometry); energy relative to the elements = 0.133 eV per atom; offset from the most stable computed form = 37.3 meV/atom; total magnetization = 0.0 μB/cell
1.0
3.737 0.000 0.000
0.000 5.994 0.000
-1.675 0.000 7.277
Sr Ca Y
1 2 1
direct
0.000 0.000 0.000
0.252 0.500 0.734
0.748 0.500 0.266
0.500 0.000 0.500

SrCa2Y (PBE, optimized geometry); energy relative to the elements = 0.142 eV per atom; offset from the most stable computed form = 46.3 meV/atom; total magnetization = 1.0 μB/cell
1.0
6.511 -1.947 0.000
6.511 1.947 0.000
-1.358 0.000 6.547
Sr Ca Y
1 2 1
direct
0.000 0.000 0.000
0.510 0.510 0.516
0.758 0.758 0.261
0.251 0.251 0.749

SrCa2Y (PBE, optimized geometry); energy relative to the elements = 0.121 eV per atom; offset from the most stable computed form = 25.4 meV/atom; total magnetization = 0.0 μB/cell
1.0
2.129 -3.087 0.000
2.129 3.087 0.000
0.000 0.000 12.476
Sr Ca Y
1 2 1
direct
0.000 0.000 0.000
0.000 0.000 0.521
0.500 0.500 0.268
0.500 0.500 0.753

Sr2CaY (PBE, optimized geometry); energy relative to the elements = 0.155 eV per atom; offset from the most stable computed form = 38.2 meV/atom; total magnetization = 0.0 μB/cell
1.0
3.803 0.000 0.000
0.000 6.218 0.000
-1.425 0.000 7.303
Sr Ca Y
2 1 1
direct
0.000 0.000 0.000
0.258 0.500 0.729
0.514 0.000 0.472
0.756 0.500 0.240

SrCa2Y (PBE, optimized geometry); energy relative to the elements = 0.108 eV per atom; offset from the most stable computed form = 11.7 meV/atom; total magnetization = 1.1 μB/cell
1.0
1.934 1.117 12.819
-1.934 1.117 12.819
0.000 -2.233 12.819
Sr Ca Y
1 2 1
direct
0.000 0.000 0.000
0.244 0.244 0.244
0.422 0.422 0.422
0.833 0.833 0.833

SrCa2Y (PBE, optimized geometry); energy relative to the elements = 0.144 eV per atom; offset from the most stable computed form = 48.4 meV/atom; total magnetization = 0.0 μB/cell
1.0
6.192 0.000 0.000
0.000 6.192 0.000
0.000 0.000 4.227
Sr Ca Y
1 2 1
direct
0.000 0.000 0.000
0.000 0.500 0.500
0.500 0.000 0.500
0.500 0.500 0.000